VASP calculation (GGA-PBE) on a geometry-optimized Tb4Fe2Mo structure.

a = 4.998 Å, b = 4.998 Å, c = 6.949 Å
α = 90.00°, β = 90.00°, γ = 90.00°
Space group P-42m (No. 111)
One atom of each set of equivalent atoms:
1 Tb 0.233 0.233 0.309 [4 per cell]
2 Fe 0.000 0.500 0.000 [2 per cell]
3 Mo 0.500 0.500 0.000 [1 per cell]

Output
energy of formation	57	kJ/mol of atoms

---

VASP calculation (GGA-PBE) on a geometry-optimized FeTcMo structure.

a = 4.1543 Å, b = 4.1543 Å, c = 18.3711 Å
α = 90.00°, β = 90.00°, γ = 120.00°
Space group R-3m (No. 166, hexagonal axes)
One atom of each set of equivalent atoms:
1 Fe 0.0000 0.0000 0.1469 [6 per cell]
2 Tc 0.0000 0.0000 0.2885 [6 per cell]
3 Mo 0.0000 0.0000 0.4265 [6 per cell]

Output
energy relative to the lowest polymorph listed for this composition	0.0000	eV per atom
energy of formation	38	kJ/mol of atoms

---

VASP calculation (GGA-PBE) on a geometry-optimized ThFeMo structure.

a = 6.183 Å, b = 6.183 Å, c = 6.183 Å
α = 90.00°, β = 90.00°, γ = 90.00°
Space group F-43m (No. 216)
One atom of each set of equivalent atoms:
1 Th 0.000 0.000 0.000 [4 per cell]
2 Fe 0.250 0.250 0.250 [4 per cell]
3 Mo 0.250 0.250 0.750 [4 per cell]

Output
energy relative to the lowest polymorph listed for this composition	0.6322	eV per atom
energy of formation	115	kJ/mol of atoms

---

VASP calculation (GGA-PBE) on a geometry-optimized ThFeMo structure.

a = 6.269 Å, b = 6.269 Å, c = 6.269 Å
α = 90.00°, β = 90.00°, γ = 90.00°
Space group F-43m (No. 216)
One atom of each set of equivalent atoms:
1 Th 0.000 0.000 0.000 [4 per cell]
2 Fe 0.250 0.250 0.750 [4 per cell]
3 Mo 0.000 0.000 0.500 [4 per cell]

Output
energy relative to the lowest polymorph listed for this composition	0.0000	eV per atom
energy of formation	54	kJ/mol of atoms

---

VASP calculation (GGA-PBE) on a geometry-optimized YTlFeMo structure.

a = 6.785 Å, b = 6.785 Å, c = 6.785 Å
α = 90.00°, β = 90.00°, γ = 90.00°
Space group F-43m (No. 216)
One atom of each set of equivalent atoms:
1 Y 0.000 0.000 0.000 [4 per cell]
2 Tl 0.250 0.250 0.250 [4 per cell]
3 Fe 0.000 0.000 0.500 [4 per cell]
4 Mo 0.250 0.250 0.750 [4 per cell]

Output
energy relative to the lowest polymorph listed for this composition	0.0261	eV per atom

---

VASP calculation (GGA-PBE) on a geometry-optimized YTlFeMo structure.

a = 6.773 Å, b = 6.773 Å, c = 6.773 Å
α = 90.00°, β = 90.00°, γ = 90.00°
Space group F-43m (No. 216)
One atom of each set of equivalent atoms:
1 Y 0.000 0.000 0.000 [4 per cell]
2 Tl 0.000 0.000 0.500 [4 per cell]
3 Fe 0.250 0.250 0.750 [4 per cell]
4 Mo 0.250 0.250 0.250 [4 per cell]

Output
energy relative to the lowest polymorph listed for this composition	0.0000	eV per atom

---

VASP calculation (GGA-PBE) on a geometry-optimized ZrTlFeMo structure.

a = 6.589 Å, b = 6.589 Å, c = 6.589 Å
α = 90.00°, β = 90.00°, γ = 90.00°
Space group F-43m (No. 216)
One atom of each set of equivalent atoms:
1 Zr 0.000 0.000 0.000 [4 per cell]
2 Tl 0.000 0.000 0.500 [4 per cell]
3 Fe 0.250 0.250 0.750 [4 per cell]
4 Mo 0.250 0.250 0.250 [4 per cell]

Output
energy relative to the lowest polymorph listed for this composition	0.0000	eV per atom

---

VASP calculation (GGA-PBE) on a geometry-optimized TmFeMo structure.

a = 6.075 Å, b = 6.075 Å, c = 6.075 Å
α = 90.00°, β = 90.00°, γ = 90.00°
Space group F-43m (No. 216)
One atom of each set of equivalent atoms:
1 Tm 0.000 0.000 0.000 [4 per cell]
2 Fe 0.250 0.250 0.750 [4 per cell]
3 Mo 0.000 0.000 0.500 [4 per cell]

Output
energy relative to the lowest polymorph listed for this composition	0.0000	eV per atom
energy of formation	44	kJ/mol of atoms

---

VASP calculation (GGA-PBE) on a geometry-optimized TmFeMo structure.

a = 6.302 Å, b = 6.302 Å, c = 6.302 Å
α = 90.00°, β = 90.00°, γ = 90.00°
Space group F-43m (No. 216)
One atom of each set of equivalent atoms:
1 Tm 0.000 0.000 0.000 [4 per cell]
2 Fe 0.250 0.250 0.750 [4 per cell]
3 Mo 0.250 0.250 0.250 [4 per cell]

Output
energy relative to the lowest polymorph listed for this composition	1.0894	eV per atom
energy of formation	150	kJ/mol of atoms

---

VASP calculation (GGA-PBE) on a geometry-optimized UFeMo structure.

a = 5.978 Å, b = 5.978 Å, c = 5.978 Å
α = 90.00°, β = 90.00°, γ = 90.00°
Space group F-43m (No. 216)
One atom of each set of equivalent atoms:
1 U 0.000 0.000 0.000 [4 per cell]
2 Fe 0.250 0.250 0.250 [4 per cell]
3 Mo 0.000 0.000 0.500 [4 per cell]

Output
energy relative to the lowest polymorph listed for this composition	0.0000	eV per atom
energy of formation	52	kJ/mol of atoms

---

VASP calculation (GGA-PBE) on a geometry-optimized UFeMo structure.

a = 6.031 Å, b = 6.031 Å, c = 6.031 Å
α = 90.00°, β = 90.00°, γ = 90.00°
Space group F-43m (No. 216)
One atom of each set of equivalent atoms:
1 U 0.000 0.000 0.000 [4 per cell]
2 Fe 0.250 0.250 0.750 [4 per cell]
3 Mo 0.250 0.250 0.250 [4 per cell]

Output
energy relative to the lowest polymorph listed for this composition	0.2907	eV per atom
energy of formation	80	kJ/mol of atoms

---

VASP calculation (GGA-PBE) on a geometry-optimized ZnFeMoW structure.

a = 6.116 Å, b = 6.116 Å, c = 6.116 Å
α = 90.00°, β = 90.00°, γ = 90.00°
Space group F-43m (No. 216)
One atom of each set of equivalent atoms:
1 Zn 0.000 0.000 0.000 [4 per cell]
2 Fe 0.250 0.250 0.250 [4 per cell]
3 Mo 0.250 0.250 0.750 [4 per cell]
4 W 0.000 0.000 0.500 [4 per cell]

Output
energy relative to the lowest polymorph listed for this composition	0.0000	eV per atom
energy of formation	25	kJ/mol of atoms

---

VASP calculation (GGA-PBE) on a geometry-optimized YFeMo2 structure.

a = 6.427 Å, b = 6.427 Å, c = 6.427 Å
α = 90.00°, β = 90.00°, γ = 90.00°
Space group F-43m (No. 216)
One atom of each set of equivalent atoms:
1 Y 0.000 0.000 0.000 [4 per cell]
2 Fe 0.250 0.250 0.750 [4 per cell]
3 Mo 0.000 0.000 0.500 [4 per cell]
4 Mo 0.250 0.250 0.250 [4 per cell]

Output
energy of formation	35	kJ/mol of atoms

---

VASP calculation (GGA-PBE) on a geometry-optimized YZnFeMo structure.

a = 6.392 Å, b = 6.392 Å, c = 6.392 Å
α = 90.00°, β = 90.00°, γ = 90.00°
Space group F-43m (No. 216)
One atom of each set of equivalent atoms:
1 Y 0.000 0.000 0.000 [4 per cell]
2 Zn 0.250 0.250 0.250 [4 per cell]
3 Fe 0.000 0.000 0.500 [4 per cell]
4 Mo 0.250 0.250 0.750 [4 per cell]

Output
energy relative to the lowest polymorph listed for this composition	0.0000	eV per atom
energy of formation	39	kJ/mol of atoms

---

VASP calculation (GGA-PBE) on a geometry-optimized YZnFeMo structure.

a = 6.498 Å, b = 6.498 Å, c = 6.498 Å
α = 90.00°, β = 90.00°, γ = 90.00°
Space group F-43m (No. 216)
One atom of each set of equivalent atoms:
1 Y 0.000 0.000 0.000 [4 per cell]
2 Zn 0.000 0.000 0.500 [4 per cell]
3 Fe 0.250 0.250 0.750 [4 per cell]
4 Mo 0.250 0.250 0.250 [4 per cell]

Output
energy relative to the lowest polymorph listed for this composition	0.1251	eV per atom
energy of formation	51	kJ/mol of atoms

---

VASP calculation (GGA-PBE) on a geometry-optimized ZrZnFeMo structure.

a = 6.316 Å, b = 6.316 Å, c = 6.316 Å
α = 90.00°, β = 90.00°, γ = 90.00°
Space group F-43m (No. 216)
One atom of each set of equivalent atoms:
1 Zr 0.000 0.000 0.000 [4 per cell]
2 Zn 0.250 0.250 0.250 [4 per cell]
3 Fe 0.000 0.000 0.500 [4 per cell]
4 Mo 0.250 0.250 0.750 [4 per cell]

Output
energy relative to the lowest polymorph listed for this composition	0.0000	eV per atom
energy of formation	24	kJ/mol of atoms

---

VASP calculation (GGA-PBE) on a geometry-optimized Zr2Fe2Mo3 structure.

a = 4.4308 Å, b = 4.4308 Å, c = 20.8450 Å
α = 90.00°, β = 90.00°, γ = 120.00°
Space group R3m (No. 160, hexagonal axes)
One atom of each set of equivalent atoms:
1 Zr 0.0000 0.0000 0.0000 [3 per cell]
2 Zr 0.0000 0.0000 0.4798 [3 per cell]
3 Fe 0.0000 0.0000 0.2414 [3 per cell]
4 Fe 0.0000 0.0000 0.7471 [3 per cell]
5 Mo 0.0000 0.0000 0.3584 [3 per cell]
6 Mo 0.0000 0.0000 0.6091 [3 per cell]
7 Mo 0.0000 0.0000 0.8640 [3 per cell]

Output
energy of formation	45	kJ/mol of atoms

---

VASP calculation (GGA-PBE) on a geometry-optimized Zr9FeMo4 structure.

a = 8.8020 Å, b = 8.8020 Å, c = 8.4126 Å
α = 90.00°, β = 90.00°, γ = 120.00°
Space group P6_3/mmc (No. 194)
One atom of each set of equivalent atoms:
1 Zr 0.0842 0.5421 0.2500 [6 per cell]
2 Zr 0.2018 0.4037 0.5583 [12 per cell]
3 Fe 0.3333 0.6667 0.7500 [2 per cell]
4 Mo 0.0000 0.0000 0.0000 [2 per cell]
5 Mo 0.1103 0.2205 0.2500 [6 per cell]

Output
energy of formation	-9	kJ/mol of atoms

---

VASP calculation (GGA-PBE) on a geometry-optimized ZrFeMo2 structure.

a = 6.311 Å, b = 6.311 Å, c = 6.311 Å
α = 90.00°, β = 90.00°, γ = 90.00°
Space group F-43m (No. 216)
One atom of each set of equivalent atoms:
1 Zr 0.000 0.000 0.000 [4 per cell]
2 Fe 0.250 0.250 0.250 [4 per cell]
3 Mo 0.000 0.000 0.500 [4 per cell]
4 Mo 0.250 0.250 0.750 [4 per cell]

Output
energy of formation	4	kJ/mol of atoms

---

VASP calculation (GGA-PBE) on a geometry-optimized FeN structure.

a = 2.869 Å, b = 2.869 Å, c = 4.045 Å
α = 90.00°, β = 90.00°, γ = 90.00°
Space group I4/mmm (No. 139)
One atom of each set of equivalent atoms:
1 Fe 0.000 0.000 0.000 [2 per cell]
2 N 0.000 0.000 0.500 [2 per cell]

Output
final energy	-8.059	eV per atom